(1)
# Re2IrW

A relaxed Re2IrW crystal (GGA-PBE, Alexandria).

* D(E_F): 0.71 states/eV/atom
* SG: Cmmm, No. 65
* total moment: 0.0 μB/f.u.
* distance to the lowest polymorph of the same formula: 75 meV/atom
* DFT formation energy: -0.02 eV per atom

a b c (Å): 4.825 4.825 2.762
angles (deg): 90.00 90.00 109.72
Atoms (fractional coordinates):
Ir  0.000  0.500  0.500
Re  0.000  0.000  0.000
Re  0.500  0.500  0.000
W  0.500  0.000  0.500

---

(2)
# CsNp2PtS4

A relaxed CsNp2PtS4 crystal (GGA-PBE, Alexandria).

* D(E_F): 2.42 states/eV/atom
* SG: Cmcm, No. 63
* total moment: 7.0 μB/f.u.
* formation energy without anion corrections: -1168 meV per atom

a b c (Å): 4.059 7.292 13.837
angles (deg): 90.00 90.00 106.16
Atoms (fractional coordinates):
Cs  0.108  0.215  0.750
Cs  0.892  0.785  0.250
Np  0.367  0.734  0.563
Np  0.633  0.266  0.063
Np  0.633  0.266  0.437
Np  0.367  0.734  0.937
Pt  0.836  0.671  0.750
Pt  0.164  0.329  0.250
S  0.256  0.513  0.100
S  0.744  0.487  0.600
S  0.744  0.487  0.900
S  0.256  0.513  0.400
S  0.000  0.000  0.500
S  0.000  0.000  0.000
S  0.423  0.847  0.750
S  0.577  0.153  0.250

---

(3)
# AgOsS2

A relaxed AgOsS2 crystal (GGA-PBE, Alexandria).

* D(E_F): 0.67 states/eV/atom
* SG: I-42d, No. 122
* total moment: 0.0 μB/f.u.
* formation energy without anion corrections: 130 meV per atom

a b c (Å): 5.698 5.698 6.550
angles (deg): 64.21 64.21 90.00
Atoms (fractional coordinates):
S  0.672  0.125  0.250
S  0.078  0.625  0.250
S  0.375  0.328  0.750
S  0.875  0.922  0.750
Os  0.000  0.000  0.000
Os  0.750  0.250  0.500
Ag  0.500  0.500  0.000
Ag  0.250  0.750  0.500

---

(4)
# NpTlPdCl6

A relaxed NpTlPdCl6 crystal (GGA-PBE, Alexandria).

* D(E_F): 0.82 states/eV/atom
* SG: P-31c, No. 163
* total moment: 2.0 μB/f.u.
* formation energy without anion corrections: -1157 meV per atom

a b c (Å): 6.634 6.634 14.973
angles (deg): 90.00 90.00 120.00
Atoms (fractional coordinates):
Np  0.667  0.333  0.250
Np  0.333  0.667  0.750
Tl  0.000  0.000  0.000
Tl  0.000  0.000  0.500
Pd  0.333  0.667  0.250
Pd  0.667  0.333  0.750
Cl  0.642  0.643  0.146
Cl  0.001  0.358  0.146
Cl  0.358  0.001  0.646
Cl  0.999  0.642  0.854
Cl  0.357  0.358  0.354
Cl  0.001  0.643  0.354
Cl  0.643  0.001  0.854
Cl  0.642  0.999  0.354
Cl  0.999  0.357  0.646
Cl  0.357  0.999  0.146
Cl  0.643  0.642  0.646
Cl  0.358  0.357  0.854

---

(5)
# LaGeP2N6

A relaxed LaGeP2N6 crystal (GGA-PBE, Alexandria).

* D(E_F): 0.47 states/eV/atom
* SG: C2/c, No. 15
* total moment: 0.0 μB/f.u.
* formation energy without anion corrections: -359 meV per atom

a b c (Å): 5.730 7.224 7.224
angles (deg): 90.55 72.98 72.98
Atoms (fractional coordinates):
La  0.250  0.878  0.122
La  0.750  0.122  0.878
Ge  0.250  0.241  0.759
Ge  0.750  0.759  0.241
P  0.332  0.781  0.631
P  0.168  0.369  0.219
P  0.668  0.219  0.369
P  0.832  0.631  0.781
N  0.209  0.992  0.765
N  0.291  0.235  0.008
N  0.791  0.008  0.235
N  0.709  0.765  0.992
N  0.430  0.787  0.397
N  0.070  0.603  0.213
N  0.570  0.213  0.603
N  0.930  0.397  0.787
N  0.069  0.716  0.670
N  0.431  0.330  0.284
N  0.931  0.284  0.330
N  0.569  0.670  0.716

---

(6)
# AlPRuO2

A relaxed AlPRuO2 crystal (GGA-PBE, Alexandria).

* D(E_F): 0.71 states/eV/atom
* SG: P4/mmm, No. 123
* total moment: 0.1 μB/f.u.
* distance to the lowest polymorph of the same formula: 0 meV/atom
* formation energy without anion corrections: -672 meV per atom

a b c (Å): 3.434 3.434 6.405
angles (deg): 90.00 90.00 90.00
Atoms (fractional coordinates):
Ru  0.500  0.500  0.500
Al  0.000  0.000  0.000
O  0.000  0.500  0.000
O  0.500  0.000  0.000
P  0.000  0.000  0.500

---

(7)
# GdHgBi

A relaxed GdHgBi crystal (GGA-PBE, Alexandria).

* D(E_F): 2.51 states/eV/atom
* SG: P3m1, No. 156
* total moment: 7.0 μB/f.u.
* distance to the lowest polymorph of the same formula: 0 meV/atom
* DFT formation energy: -0.49 eV per atom

a b c (Å): 4.406 4.817 4.817
angles (deg): 120.00 90.00 90.00
Atoms (fractional coordinates):
Gd  0.292  0.333  0.667
Bi  0.698  0.667  0.333
Hg  0.011  0.000  0.000

---

(8)
# CePuZr2

A relaxed CePuZr2 crystal (GGA-PBE, Alexandria).

* D(E_F): 2.57 states/eV/atom
* SG: R3m, No. 160
* total moment: 5.4 μB/f.u.
* distance to the lowest polymorph of the same formula: 59 meV/atom
* DFT formation energy: 0.15 eV per atom

a b c (Å): 3.285 3.285 10.886
angles (deg): 81.32 81.32 60.00
Atoms (fractional coordinates):
Ce  0.667  0.667  0.000
Pu  0.500  0.500  0.500
Zr  0.085  0.085  0.745
Zr  0.248  0.248  0.255

---

(9)
# Li6ZnNi

A relaxed Li6ZnNi crystal (GGA-PBE, Alexandria).

* D(E_F): 0.47 states/eV/atom
* SG: P-1, No. 2
* total moment: 0.0 μB/f.u.
* distance to the lowest polymorph of the same formula: 55 meV/atom
* DFT formation energy: 0.03 eV per atom

a b c (Å): 6.950 7.032 4.950
angles (deg): 44.79 45.76 60.29
Atoms (fractional coordinates):
Li  0.998  0.500  0.744
Li  0.757  0.000  0.744
Li  0.501  0.243  0.256
Li  0.243  0.000  0.256
Li  0.002  0.500  0.256
Li  0.499  0.757  0.744
Zn  0.500  0.500  0.500
Ni  0.000  0.000  0.000

---

(10)
# DyGa3Cu8

A relaxed DyGa3Cu8 crystal (GGA-PBE, Alexandria).

* D(E_F): 0.23 states/eV/atom
* SG: P3m1, No. 156
* total moment: 0.0 μB/f.u.
* DFT formation energy: -0.12 eV per atom

a b c (Å): 4.937 4.937 8.220
angles (deg): 90.00 90.00 120.00
Atoms (fractional coordinates):
Dy  0.000  0.000  0.568
Ga  0.667  0.333  0.417
Ga  0.667  0.333  0.059
Ga  0.000  0.000  0.947
Cu  0.333  0.667  0.495
Cu  0.333  0.667  0.001
Cu  0.502  0.004  0.760
Cu  0.502  0.498  0.760
Cu  0.996  0.498  0.760
Cu  0.164  0.329  0.244
Cu  0.164  0.836  0.244
Cu  0.671  0.836  0.244

---

(11)
# TbCu3As3

A relaxed TbCu3As3 crystal (GGA-PBE, Alexandria).

* D(E_F): 0.37 states/eV/atom
* SG: Pm-3n, No. 223
* total moment: 0.0 μB/f.u.
* DFT formation energy: -0.05 eV per atom

a b c (Å): 6.585 6.585 6.585
angles (deg): 90.00 90.00 90.00
Atoms (fractional coordinates):
As  0.250  0.000  0.500
As  0.000  0.500  0.250
As  0.500  0.750  0.000
As  0.750  0.000  0.500
As  0.000  0.500  0.750
As  0.500  0.250  0.000
Tb  0.500  0.500  0.500
Tb  0.000  0.000  0.000
Cu  0.000  0.250  0.500
Cu  0.000  0.750  0.500
Cu  0.500  0.000  0.750
Cu  0.750  0.500  0.000
Cu  0.500  0.000  0.250
Cu  0.250  0.500  0.000

---

(12)
# DyZrTc

A relaxed DyZrTc crystal (GGA-PBE, Alexandria).

* D(E_F): 0.67 states/eV/atom
* SG: I4mm, No. 107
* total moment: 0.0 μB/f.u.
* distance to the lowest polymorph of the same formula: 0 meV/atom
* DFT formation energy: -0.13 eV per atom

a b c (Å): 3.389 3.389 6.346
angles (deg): 105.49 105.49 90.00
Atoms (fractional coordinates):
Tc  0.679  0.679  0.359
Zr  0.297  0.297  0.593
Dy  0.024  0.024  0.048

---

(13)
# CeTmGeRu

A relaxed CeTmGeRu crystal (GGA-PBE, Alexandria).

* D(E_F): 1.23 states/eV/atom
* SG: F-43m, No. 216
* total moment: 0.0 μB/f.u.
* DFT formation energy: -0.43 eV per atom

a b c (Å): 4.943 4.943 4.943
angles (deg): 60.00 60.00 60.00
Atoms (fractional coordinates):
Ru  0.750  0.750  0.750
Ge  0.250  0.250  0.250
Tm  0.500  0.500  0.500
Ce  0.000  0.000  0.000

---

(14)
# YMgFe2

A relaxed YMgFe2 crystal (GGA-PBE, Alexandria).

* D(E_F): 1.22 states/eV/atom
* SG: Pmmm, No. 47
* total moment: 3.8 μB/f.u.
* DFT formation energy: 0.25 eV per atom

a b c (Å): 3.405 3.387 7.062
angles (deg): 61.36 90.00 90.00
Atoms (fractional coordinates):
Fe  0.000  0.940  0.060
Fe  0.000  0.560  0.440
Mg  0.500  0.250  0.250
Y  0.500  0.750  0.750

---

(15)
# ThAlCd

A relaxed ThAlCd crystal (GGA-PBE, Alexandria).

* D(E_F): 0.67 states/eV/atom
* SG: P-6m2, No. 187
* total moment: 0.0 μB/f.u.
* DFT formation energy: -0.26 eV per atom

a b c (Å): 3.706 4.794 4.794
angles (deg): 120.00 90.00 90.00
Atoms (fractional coordinates):
Al  0.167  0.333  0.667
Th  0.667  0.667  0.333
Cd  0.166  0.000  0.000

---

(16)
# HgTeAs2

A relaxed HgTeAs2 crystal (GGA-PBE, Alexandria).

* D(E_F): 0.65 states/eV/atom
* SG: R-3m, No. 166
* total moment: 0.0 μB/f.u.
* distance to the lowest polymorph of the same formula: 413 meV/atom
* formation energy without anion corrections: 502 meV per atom

a b c (Å): 11.126 11.126 11.126
angles (deg): 16.29 16.29 16.29
Atoms (fractional coordinates):
As  0.990  0.990  0.990
As  0.510  0.510  0.510
Te  0.750  0.750  0.750
Hg  0.250  0.250  0.250

---

(17)
# CdSb2Pt2

A relaxed CdSb2Pt2 crystal (GGA-PBE, Alexandria).

* D(E_F): 0.46 states/eV/atom
* SG: I4/mmm, No. 139
* total moment: 0.0 μB/f.u.
* distance to the lowest polymorph of the same formula: 34 meV/atom
* formation energy without anion corrections: -154 meV per atom

a b c (Å): 3.931 3.931 8.264
angles (deg): 76.24 76.24 90.00
Atoms (fractional coordinates):
Sb  0.371  0.371  0.258
Sb  0.629  0.629  0.742
Pt  0.750  0.250  0.500
Pt  0.250  0.750  0.500
Cd  0.000  0.000  0.000

---

(18)
# LiMoH2

A relaxed LiMoH2 crystal (GGA-PBE, Alexandria).

* D(E_F): 0.37 states/eV/atom
* SG: Fm-3m, No. 225
* total moment: 0.0 μB/f.u.
* distance to the lowest polymorph of the same formula: 453 meV/atom

a b c (Å): 3.473 3.473 3.473
angles (deg): 60.00 60.00 60.00
Atoms (fractional coordinates):
H  0.250  0.250  0.250
H  0.750  0.750  0.750
Mo  0.500  0.500  0.500
Li  0.000  0.000  0.000

---

(19)
# Mn2FeHOs

A relaxed Mn2FeHOs crystal (GGA-PBE, Alexandria).

* D(E_F): 0.48 states/eV/atom
* SG: P4/mmm, No. 123
* total moment: 0.9 μB/f.u.
* distance to the lowest polymorph of the same formula: 18 meV/atom

a b c (Å): 3.670 3.670 3.789
angles (deg): 90.00 90.00 90.00
Atoms (fractional coordinates):
H  0.000  0.000  0.000
Mn  0.000  0.500  0.000
Mn  0.500  0.000  0.000
Os  0.000  0.000  0.500
Fe  0.500  0.500  0.500

---

(20)
# CsTlH2

A relaxed CsTlH2 crystal (GGA-PBE, Alexandria).

* D(E_F): 0.08 states/eV/atom
* SG: I-42d, No. 122
* total moment: 0.0 μB/f.u.
* distance to the lowest polymorph of the same formula: 7 meV/atom

a b c (Å): 5.927 5.927 7.481
angles (deg): 66.66 66.66 90.00
Atoms (fractional coordinates):
Cs  0.500  0.500  0.000
Cs  0.250  0.750  0.500
H  0.725  0.125  0.250
H  0.025  0.625  0.250
H  0.375  0.275  0.750
H  0.875  0.975  0.750
Tl  0.000  0.000  0.000
Tl  0.750  0.250  0.500

---

(21)
# HfBeNb3

A relaxed HfBeNb3 crystal (GGA-PBE, Alexandria).

* D(E_F): 1.19 states/eV/atom
* SG: Pm-3m, No. 221
* total moment: 0.0 μB/f.u.
* distance to the lowest polymorph of the same formula: 0 meV/atom
* DFT formation energy: 0.45 eV per atom

a b c (Å): 4.516 4.516 4.516
angles (deg): 90.00 90.00 90.00
Atoms (fractional coordinates):
Be  0.000  0.000  0.000
Nb  0.000  0.500  0.000
Nb  0.000  0.000  0.500
Nb  0.500  0.000  0.000
Hf  0.500  0.500  0.500

---

(22)
# ZrZn

A relaxed ZrZn crystal (GGA-PBE, Alexandria).

* D(E_F): 0.55 states/eV/atom
* SG: Cm, No. 8
* total moment: 0.0 μB/f.u.
* DFT formation energy: -0.19 eV per atom

a b c (Å): 5.958 5.958 6.543
angles (deg): 74.44 74.44 30.54
Atoms (fractional coordinates):
Zn  0.025  0.025  0.934
Zn  0.376  0.376  0.231
Zn  0.367  0.367  0.815
Zr  0.705  0.705  0.607
Zr  0.687  0.687  0.119
Zr  0.006  0.006  0.461

---

(23)
# PaPt2Au

A relaxed PaPt2Au crystal (GGA-PBE, Alexandria).

* D(E_F): 0.58 states/eV/atom
* SG: R-3m, No. 166
* total moment: 0.0 μB/f.u.
* distance to the lowest polymorph of the same formula: 195 meV/atom
* DFT formation energy: -0.62 eV per atom

a b c (Å): 3.973 3.973 6.761
angles (deg): 72.91 72.91 60.00
Atoms (fractional coordinates):
Pa  0.000  0.000  0.000
Au  0.500  0.500  0.500
Pt  0.250  0.250  0.251
Pt  0.750  0.750  0.749

---

(24)
# Tb4Dy2Sn3O2

A relaxed Tb4Dy2Sn3O2 crystal (GGA-PBE, Alexandria).

* D(E_F): 0.51 states/eV/atom
* SG: I4/mmm, No. 139
* total moment: 0.0 μB/f.u.
* formation energy without anion corrections: -1513 meV per atom

a b c (Å): 4.668 4.668 12.939
angles (deg): 100.39 100.39 90.00
Atoms (fractional coordinates):
Tb  0.416  0.916  0.833
Tb  0.916  0.416  0.833
Tb  0.084  0.584  0.167
Tb  0.584  0.084  0.167
Dy  0.306  0.306  0.613
Dy  0.694  0.694  0.387
Sn  0.000  0.000  0.000
Sn  0.179  0.179  0.358
Sn  0.821  0.821  0.642
O  0.400  0.400  0.800
O  0.600  0.600  0.200

---

(25)
# ErSc2In

A relaxed ErSc2In crystal (GGA-PBE, Alexandria).

* D(E_F): 1.09 states/eV/atom
* SG: Cmcm, No. 63
* total moment: 0.0 μB/f.u.
* distance to the lowest polymorph of the same formula: 106 meV/atom
* DFT formation energy: -0.16 eV per atom

a b c (Å): 7.887 7.887 8.116
angles (deg): 90.00 90.00 156.20
Atoms (fractional coordinates):
Er  0.738  0.262  0.250
Er  0.262  0.738  0.750
Sc  0.600  0.400  0.937
Sc  0.400  0.600  0.063
Sc  0.400  0.600  0.437
Sc  0.600  0.400  0.563
In  0.048  0.952  0.250
In  0.952  0.048  0.750